An optimized crystal structure of AlCuOs. Source: the Alexandria database, functional GGA-PBE.

a b c (Å): 4.185 4.185 2.656
angles (deg): 90.00 90.00 120.00
Fractional coordinates of all 3 atoms:
1 Al 0.000 0.000 0.166
2 Os 0.667 0.333 0.667
3 Cu 0.333 0.667 0.168

Properties
Its space group is P-6m2. The polymorph energy (0 for the lowest one) is 0.68 kJ per mole of atoms. The value obtained for the energy of formation from the pure elements is -0.07 eV per atom. The value obtained for the total energy is -6.4252 eV/atom. The total magnetization comes out at 0.00 μB per formula unit.

***

An optimized crystal structure of AlCu2Os. Source: the Alexandria database, functional GGA-PBE.

a b c (Å): 5.065 5.065 4.202
angles (deg): 65.14 65.14 32.84
Fractional coordinates of all 4 atoms:
1 Cu 0.995 0.995 0.006
2 Cu 0.505 0.505 0.494
3 Al 0.250 0.250 0.250
4 Os 0.750 0.750 0.750

Properties
Its space group is C2/m. The value obtained for the energy of formation from the pure elements is -0.02 eV per atom. The value obtained for the total energy is -5.8113 eV/atom. The total magnetization comes out at 0.00 μB per formula unit.

***

An optimized crystal structure of AlCu2Os. Source: the Alexandria database, functional GGA-PBE.

a b c (Å): 8.503 8.503 8.503
angles (deg): 18.46 18.46 18.46
Fractional coordinates of all 4 atoms:
1 Cu 0.252 0.252 0.252
2 Cu 0.000 0.000 0.000
3 Al 0.749 0.749 0.749
4 Os 0.499 0.499 0.499

Properties
Its space group is R3m. The value obtained for the energy of formation from the pure elements is 0.03 eV per atom. The value obtained for the total energy is -5.7597 eV/atom. The total magnetization comes out at 0.00 μB per formula unit.

***

An optimized crystal structure of AlCuOs. Source: the Alexandria database, functional GGA-PBE.

a b c (Å): 6.272 6.390 4.318
angles (deg): 47.53 133.44 136.30
Fractional coordinates of all 6 atoms:
1 Al 0.126 0.910 0.621
2 Al 0.477 0.909 0.472
3 Cu 0.478 0.582 0.301
4 Cu 0.797 0.582 0.120
5 Os 0.135 0.246 0.794
6 Os 0.805 0.247 0.963

Properties
Its space group is Ama2. The polymorph energy (0 for the lowest one) is 0.00 kJ per mole of atoms. The value obtained for the energy of formation from the pure elements is -0.08 eV per atom. The value obtained for the total energy is -6.4322 eV/atom. The total magnetization comes out at 0.00 μB per formula unit.